[1]
Density functional theory data (PBE) for crystalline Ti2Ag5 at its relaxed geometry.

Computed properties:
For the calculated volume, the calculation gives 123.61 Å³ per cell. As for the total magnetization: 0.00 μB/cell. The mass density comes out at 8.5 g/cm3. As for the total energy: -30.2 eV per cell.

The structure in extended XYZ format:
```
7
Lattice="2.891 0.000 -0.402 -0.056 2.891 -0.402 0.562 0.573 14.630" Properties=species:S:1:pos:R:3 pbc="T T T"
Ti 1.117 1.139 8.031
Ti 2.280 2.324 5.795
Ag 0.574 0.586 4.129
Ag 1.703 1.737 1.651
Ag 0.000 0.000 0.000
Ag 1.694 1.727 12.175
Ag 2.823 2.878 9.697
```

[2]
Density functional theory data (PBE) for crystalline BaSi2As at its relaxed geometry.

Computed properties:
For the calculated volume, the calculation gives 103.24 Å³ per cell. The value obtained for the uncorrected formation energy is 294 meV per atom. As for the total magnetization: 0.00 μB/cell. The mass density comes out at 4.3 g/cm3. As for the total energy: -16.2 eV per cell.

The structure in extended XYZ format:
```
4
Lattice="-0.653 3.321 7.693 -4.301 3.058 6.541 -2.531 -0.008 8.014" Properties=species:S:1:pos:R:3 pbc="T T T"
As -1.871 1.593 5.562
Ba -5.614 4.778 16.686
Si -7.309 6.220 21.723
Si -3.919 3.336 11.649
```

[3]
Density functional theory data (PBE) for crystalline VCo2H3 at its relaxed geometry.

Computed properties:
For the calculated volume, the calculation gives 158.41 Å³ per cell. As for the total magnetization: 4.20 μB/cell. The mass density comes out at 7.2 g/cm3. As for the total energy: -136.0 eV per cell.

The structure in extended XYZ format:
```
24
Lattice="-2.279 2.767 1.014 -1.391 -2.737 4.346 5.968 3.424 4.067" Properties=species:S:1:pos:R:3 pbc="T T T"
V -1.323 -1.438 4.374
V 1.428 1.110 3.602
V 0.870 2.344 5.824
V 3.622 4.892 5.052
Co 2.732 0.905 7.089
Co 3.366 2.239 4.875
Co 0.668 -0.300 5.744
Co -0.570 -0.041 2.254
Co 2.869 3.495 7.172
Co 1.630 3.754 3.682
Co -1.068 1.215 4.551
Co -0.433 2.549 2.337
H 2.018 0.944 5.382
H 4.721 3.464 4.577
H 4.019 2.154 6.578
H 2.808 2.429 3.105
H 0.053 -0.153 3.965
H 0.758 1.221 1.799
H 1.541 2.233 7.627
H 2.246 3.607 5.461
H -0.509 1.025 6.321
H -1.721 1.300 2.849
H -2.423 -0.010 4.849
H 0.280 2.511 4.044
```